# Sm15Dy2In2

A relaxed structure of Sm15Dy2In2 (GGA-PBE, Alexandria).

- energy of formation from the pure elements (eV/f.u.) = 2.75
- calculated density (g cm⁻³) = 7.457
- symmetry = R-3m, No. 166

abc: 8.682 8.682 8.682
angles: 79.64 79.64 79.64
Sites, in units of the cell vectors:
Dy1 0.687 0.687 0.687
Dy2 0.313 0.313 0.313
Sm1 0.708 0.000 0.292
Sm2 0.374 0.374 0.844
Sm3 0.844 0.374 0.374
Sm4 0.626 0.156 0.626
Sm5 0.500 0.000 0.000
Sm6 0.000 0.292 0.708
Sm7 0.000 0.708 0.292
Sm8 0.708 0.292 0.000
Sm9 0.156 0.626 0.626
Sm10 0.000 0.000 0.500
Sm11 0.626 0.626 0.156
Sm12 0.000 0.500 0.000
Sm13 0.374 0.844 0.374
Sm14 0.292 0.708 0.000
Sm15 0.292 0.000 0.708
In1 0.095 0.095 0.095
In2 0.905 0.905 0.905